Compound: KCu3IrS4
Source: the Open Quantum Materials Database
Functional: PBE
Structure: relaxed

The structure belongs to space group P-43m (No. 215); the cell edges are 5.8627, 5.8627 and 5.8627 Å and the angles 90.00°, 90.00° and 90.00°. Symmetry generates all atoms from K at (0.0000, 0.0000, 0.0000), Cu at (0.0000, 0.5000, 0.5000), Ir at (0.5000, 0.5000, 0.5000) and S at (0.2782, 0.2782, 0.2782).

The value obtained for the electronic total energy is -38.66 eV/cell. As for the spin magnetization: 0.08 μB per atom.

=====

Compound: KCuIrSe2S
Source: the Open Quantum Materials Database
Functional: PBE
Structure: relaxed

The structure belongs to space group Cmcm (No. 63); the cell edges are 3.8129, 14.4747 and 9.5199 Å and the angles 90.00°, 90.00° and 90.00°. Symmetry generates all atoms from K at (0.0000, 0.2497, 0.2500), Cu at (0.0000, 0.0285, 0.7500), Ir at (0.0000, 0.5000, 0.0000), Se at (0.0000, 0.1139, 0.5361) and S at (0.0000, 0.4392, 0.7500).

The value obtained for the electronic total energy is -109.07 eV/cell. As for the spin magnetization: 0.00 μB per atom.

=====

Compound: KCu3IrSe4
Source: the Open Quantum Materials Database
Functional: PBE
Structure: relaxed

The structure belongs to space group P-43m (No. 215); the cell edges are 6.1192, 6.1192 and 6.1192 Å and the angles 90.00°, 90.00° and 90.00°. Symmetry generates all atoms from K at (0.0000, 0.0000, 0.0000), Cu at (0.0000, 0.5000, 0.5000), Ir at (0.5000, 0.5000, 0.5000) and Se at (0.2766, 0.2766, 0.2766).

The value obtained for the electronic total energy is -35.71 eV/cell. As for the spin magnetization: 0.06 μB per atom.

=====

Compound: KCuTeIrSe2
Source: the Open Quantum Materials Database
Functional: PBE
Structure: relaxed

The structure belongs to space group Cmcm (No. 63); the cell edges are 3.8203, 15.4111 and 10.1370 Å and the angles 90.00°, 90.00° and 90.00°. Symmetry generates all atoms from K at (0.0000, 0.2323, 0.2500), Cu at (0.0000, 0.4528, 0.7500), Te at (0.0000, 0.0694, 0.7500), Ir at (0.0000, 0.0000, 0.0000) and Se at (0.0000, 0.3921, 0.5349).

The value obtained for the electronic total energy is -104.63 eV/cell. As for the spin magnetization: 0.00 μB per atom.